No. 1
Compound: CsCa2Au
Source: Alexandria via LeMat-Bulk
Functional: PBE
Structure: optimized geometry

The space group is I-42d (No. 122) and the conventional cell measures 9.1601, 9.1601 and 12.5885 Å, with angles of 90.00, 90.00 and 90.00 degrees. The distinct sites, in fractional coordinates, are Cs at (0.0000, 0.0000, 0.0000), Ca at (0.0242, 0.2500, 0.6250) and Au at (0.0000, 0.0000, 0.5000).

As for the energy of formation from the pure elements: -32 kJ/mol of formula units. The value obtained for the density of states at the Fermi level is 0.00 states/eV/cell.

=====

No. 2
Compound: Ga3Pd6Pt
Source: Alexandria via LeMat-Bulk
Functional: PBE
Structure: optimized geometry

The space group is P2_1/m (No. 11) and the conventional cell measures 7.6007, 4.0860 and 10.3262 Å, with angles of 90.00, 91.29 and 90.00 degrees. The distinct sites, in fractional coordinates, are Ga at (0.1153, 0.2500, 0.1610), Ga at (0.2582, 0.7500, 0.5166), Ga at (0.3791, 0.2500, 0.8548), Pd at (0.0616, 0.2500, 0.9146), Pd at (0.0876, 0.2500, 0.4328), Pd at (0.1955, 0.7500, 0.7488), Pd at (0.2264, 0.7500, 0.2791), Pd at (0.3178, 0.7500, 0.0152), Pd at (0.4321, 0.2500, 0.5989) and Pt at (0.4448, 0.2500, 0.2020).

As for the energy of formation from the pure elements: -474 kJ/mol of formula units. The value obtained for the density of states at the Fermi level is 6.34 states/eV/cell.

=====

No. 3
Compound: TbH2Br
Source: Alexandria via LeMat-Bulk
Functional: PBE
Structure: optimized geometry

The space group is P-3m1 (No. 164) and the conventional cell measures 3.7743, 3.7743 and 10.6426 Å, with angles of 90.00, 90.00 and 120.00 degrees. The distinct sites, in fractional coordinates, are Tb at (0.3333, 0.6667, 0.3487), H at (0.0000, 0.0000, 0.3676), H at (0.3333, 0.6667, 0.5588) and Br at (0.3333, 0.6667, 0.8342).

The value obtained for the density of states at the Fermi level is 0.00 states/eV/cell. The value obtained for the calculated total energy is -4.3445 eV per atom.

=====

No. 4
Compound: PmHoSnPb
Source: Alexandria via LeMat-Bulk
Functional: PBE
Structure: optimized geometry

The space group is F-43m (No. 216) and the conventional cell measures 7.7102, 7.7102 and 7.7102 Å, with angles of 90.00, 90.00 and 90.00 degrees. The distinct sites, in fractional coordinates, are Pm at (0.0000, 0.0000, 0.0000), Ho at (0.0000, 0.0000, 0.5000), Sn at (0.2500, 0.2500, 0.2500) and Pb at (0.2500, 0.2500, 0.7500).

As for the energy of formation from the pure elements: -183 kJ/mol of formula units. The value obtained for the density of states at the Fermi level is 16.34 states/eV/cell.